Ho3ScHg2: relaxed, PBE.

## Properties
* E_form: -0.289 eV/atom
* total moment: 0.000 μB/atom

```
data_Ho3ScHg2
_symmetry_space_group_name_H-M 'P 1'
_symmetry_Int_Tables_number 1
_symmetry_space_group_name_Hall 'P 1'
_cell_length_a 3.655
_cell_length_b 3.655
_cell_length_c 11.835
_cell_angle_alpha 90.00
_cell_angle_beta 90.00
_cell_angle_gamma 90.00
loop_
_atom_site_label
_atom_site_type_symbol
_atom_site_fract_x
_atom_site_fract_y
_atom_site_fract_z
_atom_site_occupancy
Ho1 Ho 0.000 0.000 0.000 1
Ho2 Ho 0.000 0.000 0.680 1
Ho3 Ho 0.000 0.000 0.320 1
Sc1 Sc 0.500 0.500 0.500 1
Hg1 Hg 0.500 0.500 0.837 1
Hg2 Hg 0.500 0.500 0.163 1
```



Ho5Sc4Hg4: relaxed, PBE.

## Properties
* E_form: -0.329 eV/atom
* total moment: 0.000 μB/atom

```
data_Ho5Sc4Hg4
_symmetry_space_group_name_H-M 'P 1'
_symmetry_Int_Tables_number 1
_symmetry_space_group_name_Hall 'P 1'
_cell_length_a 4.910
_cell_length_b 8.620
_cell_length_c 8.620
_cell_angle_alpha 85.35
_cell_angle_beta 73.45
_cell_angle_gamma 73.45
loop_
_atom_site_label
_atom_site_type_symbol
_atom_site_fract_x
_atom_site_fract_y
_atom_site_fract_z
_atom_site_occupancy
Ho1 Ho 0.688 0.931 0.693 1
Ho2 Ho 0.312 0.069 0.307 1
Ho3 Ho 0.000 0.000 0.000 1
Ho4 Ho 0.619 0.693 0.069 1
Ho5 Ho 0.381 0.307 0.931 1
Sc1 Sc 0.902 0.503 0.692 1
Sc2 Sc 0.594 0.308 0.503 1
Sc3 Sc 0.098 0.497 0.308 1
Sc4 Sc 0.406 0.692 0.497 1
Hg1 Hg 0.754 0.333 0.160 1
Hg2 Hg 0.246 0.667 0.840 1
Hg3 Hg 0.914 0.840 0.333 1
Hg4 Hg 0.086 0.160 0.667 1
```



HoSc2Hg8: relaxed, PBE.

## Properties
* E_form: -0.228 eV/atom
* total moment: 0.000 μB/atom

```
data_HoSc2Hg8
_symmetry_space_group_name_H-M 'P 1'
_symmetry_Int_Tables_number 1
_symmetry_space_group_name_Hall 'P 1'
_cell_length_a 4.859
_cell_length_b 7.498
_cell_length_c 8.355
_cell_angle_alpha 116.66
_cell_angle_beta 106.90
_cell_angle_gamma 90.00
loop_
_atom_site_label
_atom_site_type_symbol
_atom_site_fract_x
_atom_site_fract_y
_atom_site_fract_z
_atom_site_occupancy
Ho1 Ho 0.500 0.000 0.000 1
Sc1 Sc 0.191 0.691 0.382 1
Sc2 Sc 0.809 0.309 0.618 1
Hg1 Hg 0.651 0.866 0.303 1
Hg2 Hg 0.349 0.563 0.697 1
Hg3 Hg 0.158 0.158 0.316 1
Hg4 Hg 0.000 0.299 0.000 1
Hg5 Hg 0.842 0.842 0.684 1
Hg6 Hg 0.651 0.437 0.303 1
Hg7 Hg 0.349 0.134 0.697 1
Hg8 Hg 0.000 0.701 0.000 1
```



Ho8ScHg2: relaxed, PBE.

## Properties
* E_form: -0.047 eV/atom
* total moment: 0.000 μB/atom

```
data_Ho8ScHg2
_symmetry_space_group_name_H-M 'P 1'
_symmetry_Int_Tables_number 1
_symmetry_space_group_name_Hall 'P 1'
_cell_length_a 5.430
_cell_length_b 8.568
_cell_length_c 8.568
_cell_angle_alpha 118.68
_cell_angle_beta 100.50
_cell_angle_gamma 100.50
loop_
_atom_site_label
_atom_site_type_symbol
_atom_site_fract_x
_atom_site_fract_y
_atom_site_fract_z
_atom_site_occupancy
Ho1 Ho 0.894 0.908 0.681 1
Ho2 Ho 0.894 0.681 0.908 1
Ho3 Ho 0.302 0.610 0.610 1
Ho4 Ho 0.500 0.780 0.220 1
Ho5 Ho 0.500 0.220 0.780 1
Ho6 Ho 0.698 0.390 0.390 1
Ho7 Ho 0.106 0.319 0.092 1
Ho8 Ho 0.106 0.092 0.319 1
Sc1 Sc 0.500 0.000 0.000 1
Hg1 Hg 0.000 0.306 0.694 1
Hg2 Hg 0.000 0.694 0.306 1
```



The records above yield theoretical density values of 9.88; 8.95; 12.01; 8.98 g/cm³, respectively.